Entry 1:
Below is an optimized crystal structure of ZrFeS2, with properties calculated at the PBE level.

E   -27.99 eV/cell
Space group   R-3m (166)
Formation energy without anion corrections   -0.68 eV per atom
Energy above the lowest structure with this stoichiometry   0.00 eV per formula unit
DOS at the Fermi energy   5.1 states/eV per cell

Geometry as extended XYZ:
```
4
Lattice="1.7460 1.0080 7.6533 -1.7460 1.0080 7.6533 0.0000 -2.0161 7.6533" Properties=species:S:1:pos:R:3 pbc="T T T"
Zr 0.0000 0.0000 0.0000
Fe 0.0000 0.0000 11.4799
S 0.0000 0.0000 9.2666
S 0.0000 0.0000 13.6933
```

=====

Entry 2:
Below is an optimized crystal structure of ZrFeS2, with properties calculated at the PBE level.

E   -27.83 eV/cell
Space group   Fm-3m (225)
Formation energy without anion corrections   -0.64 eV per atom
Energy above the lowest structure with this stoichiometry   0.16 eV per formula unit
DOS at the Fermi energy   4.2 states/eV per cell

Geometry as extended XYZ:
```
4
Lattice="0.0000 3.1292 3.1292 3.1292 0.0000 3.1292 3.1292 3.1292 0.0000" Properties=species:S:1:pos:R:3 pbc="T T T"
Zr 0.0000 0.0000 0.0000
Fe 3.1292 3.1292 3.1292
S 1.5646 1.5646 1.5646
S 4.6938 4.6938 4.6938
```

=====

Entry 3:
Below is an optimized crystal structure of FeSb5, with properties calculated at the PBE level.

E   -28.11 eV/cell
Space group   Cm (8)
Formation energy without anion corrections   0.16 eV per atom
Energy above the lowest structure with this stoichiometry   0.14 eV per formula unit
DOS at the Fermi energy   1.9 states/eV per cell

Geometry as extended XYZ:
```
6
Lattice="6.8253 -1.6711 0.0000 6.8253 1.6711 0.0000 -2.6409 0.0000 7.3527" Properties=species:S:1:pos:R:3 pbc="T T T"
Fe 0.0000 0.0000 0.0000
Sb 11.9493 0.0000 4.7295
Sb 2.7745 0.0000 5.7905
Sb 5.0078 0.0000 1.3647
Sb 7.6903 0.0000 2.3724
Sb 6.2715 0.0000 7.0995
```

=====

Entry 4:
Below is an optimized crystal structure of Fe3Sb, with properties calculated at the PBE level.

E   -29.04 eV/cell
Space group   I4/mmm (139)
Formation energy without anion corrections   0.12 eV per atom
DOS at the Fermi energy   3.1 states/eV per cell

Geometry as extended XYZ:
```
4
Lattice="-1.9065 1.9065 3.7932 1.9065 -1.9065 3.7932 1.9065 1.9065 -3.7932" Properties=species:S:1:pos:R:3 pbc="T T T"
Fe 0.0000 0.0000 0.0000
Fe 1.9065 0.0000 1.8966
Fe 0.0000 1.9065 1.8966
Sb 0.0000 0.0000 3.7932
```

=====

Entry 5:
Below is an optimized crystal structure of FeSb2, with properties calculated at the PBE level.

E   -64.04 eV/cell
Space group   Pnma (62)
Formation energy without anion corrections   0.23 eV per atom
DOS at the Fermi energy   10.7 states/eV per cell

Geometry as extended XYZ:
```
12
Lattice="7.1898 0.0000 0.0000 0.0000 3.9907 0.0000 0.0000 0.0000 8.6975" Properties=species:S:1:pos:R:3 pbc="T T T"
Fe 1.7915 0.9977 0.8312
Fe 1.8034 2.9931 5.1799
Fe 5.3864 0.9977 3.5176
Fe 5.3983 2.9931 7.8663
Sb 0.0685 0.9977 7.4764
Sb 0.9212 0.9977 3.5099
Sb 2.6737 2.9931 7.8586
Sb 3.5264 2.9931 3.1276
Sb 3.6634 0.9977 5.5699
Sb 4.5161 0.9977 0.8389
Sb 6.2687 2.9931 5.1876
Sb 7.1213 2.9931 1.2211
```

=====

Entry 6:
Below is an optimized crystal structure of Fe3Sb, with properties calculated at the PBE level.

E   -27.69 eV/cell
Space group   R-3m (166)
Formation energy without anion corrections   0.46 eV per atom
DOS at the Fermi energy   4.3 states/eV per cell

Geometry as extended XYZ:
```
4
Lattice="1.5083 0.8708 7.6431 -1.5083 0.8708 7.6431 0.0000 -1.7416 7.6431" Properties=species:S:1:pos:R:3 pbc="T T T"
Fe 0.0000 0.0000 0.0000
Fe 0.0000 0.0000 5.8893
Fe 0.0000 0.0000 17.0400
Sb 0.0000 0.0000 11.4646
```

=====

Entry 7:
Below is an optimized crystal structure of FeSb2, with properties calculated at the PBE level.

E   -32.56 eV/cell
Space group   I4_1/amd (141)
Formation energy without anion corrections   0.14 eV per atom
DOS at the Fermi energy   5.5 states/eV per cell

Geometry as extended XYZ:
```
6
Lattice="-1.5905 1.5905 12.9522 1.5905 -1.5905 12.9522 1.5905 1.5905 -12.9522" Properties=species:S:1:pos:R:3 pbc="T T T"
Fe 1.5905 0.7953 3.2380
Fe 0.0000 0.7953 9.7141
Sb 1.5905 -0.7953 8.1387
Sb 1.5905 -0.7953 11.2896
Sb 0.0000 2.3858 1.6626
Sb 0.0000 2.3858 4.8135
```

=====

Entry 8:
Below is an optimized crystal structure of FeSb2, with properties calculated at the PBE level.

E   -16.26 eV/cell
Space group   Fm-3m (225)
Formation energy without anion corrections   0.15 eV per atom
DOS at the Fermi energy   2.6 states/eV per cell

Geometry as extended XYZ:
```
3
Lattice="0.0000 3.1305 3.1305 3.1305 0.0000 3.1305 3.1305 3.1305 0.0000" Properties=species:S:1:pos:R:3 pbc="T T T"
Fe 0.0000 0.0000 0.0000
Sb 1.5652 1.5652 1.5652
Sb 4.6957 4.6957 4.6957
```

=====

Entry 9:
Below is an optimized crystal structure of Fe7Sb6, with properties calculated at the PBE level.

E   -81.27 eV/cell
Space group   R-3m (166)
Formation energy without anion corrections   0.21 eV per atom
DOS at the Fermi energy   13.1 states/eV per cell

Geometry as extended XYZ:
```
13
Lattice="2.6331 1.5202 9.8325 -2.6331 1.5202 9.8325 0.0000 -3.0405 9.8325" Properties=species:S:1:pos:R:3 pbc="T T T"
Fe 0.0000 0.0000 0.0000
Fe 0.0000 -1.5709 7.1317
Fe -1.3604 0.7855 7.1317
Fe -1.3605 -0.7855 22.3657
Fe 1.3604 0.7855 7.1317
Fe 1.3605 -0.7855 22.3657
Fe 0.0000 1.5709 22.3657
Sb 0.0000 0.0000 4.9485
Sb 0.0000 0.0000 9.2815
Sb 0.0000 0.0000 12.3028
Sb 0.0000 0.0000 17.1946
Sb 0.0000 0.0000 20.2159
Sb 0.0000 0.0000 24.5489
```

=====

Entry 10:
Below is an optimized crystal structure of FeSb5, with properties calculated at the PBE level.

E   -27.30 eV/cell
Space group   Cmmm (65)
Formation energy without anion corrections   0.30 eV per atom
Energy above the lowest structure with this stoichiometry   0.95 eV per formula unit
DOS at the Fermi energy   5.6 states/eV per cell

Geometry as extended XYZ:
```
6
Lattice="1.6995 -9.7946 0.0000 1.6995 9.7946 0.0000 0.0000 0.0000 4.7595" Properties=species:S:1:pos:R:3 pbc="T T T"
Fe 0.0000 0.0000 0.0000
Sb 1.6995 6.1318 2.3798
Sb 1.6995 2.1384 0.0000
Sb 1.6995 0.0000 2.3798
Sb 1.6995 -2.1384 0.0000
Sb 1.6995 -6.1318 2.3798
```

=====

Entry 11:
Below is an optimized crystal structure of Fe3Sb, with properties calculated at the PBE level.

E   -28.25 eV/cell
Space group   R-3m (166)
Formation energy without anion corrections   0.31 eV per atom
DOS at the Fermi energy   3.3 states/eV per cell

Geometry as extended XYZ:
```
4
Lattice="4.1500 2.3960 0.9569 -4.1500 2.3960 0.9569 0.0000 -4.7920 0.9569" Properties=species:S:1:pos:R:3 pbc="T T T"
Fe -2.0750 -1.1980 0.9569
Fe -2.0750 1.1980 1.9137
Fe 0.0000 2.3960 0.9569
Sb 0.0000 0.0000 0.0000
```

=====

Entry 12:
Below is an optimized crystal structure of FeSb5, with properties calculated at the PBE level.

E   -27.29 eV/cell
Space group   P-62m (189)
Formation energy without anion corrections   0.30 eV per atom
Energy above the lowest structure with this stoichiometry   0.95 eV per formula unit
DOS at the Fermi energy   6.3 states/eV per cell

Geometry as extended XYZ:
```
6
Lattice="7.0674 0.0000 0.0000 -3.5337 6.1205 0.0000 0.0000 0.0000 3.6725" Properties=species:S:1:pos:R:3 pbc="T T T"
Fe 0.0000 0.0000 0.0000
Sb -2.5416 4.4022 1.8362
Sb 0.9921 1.7184 1.8362
Sb 0.0000 4.0803 0.0000
Sb 3.5337 2.0402 0.0000
Sb 5.0832 0.0000 1.8362
```